Record 1
! MnZnSe2 (PBE, optimized geometry); values from VASP
! total energy = -17.99 eV/cell
! DOS at the Fermi energy = 0.340 states/eV/atom
! formation energy (no corrections) = -0.144 eV/atom
&SYSTEM
  ibrav = 0, nat = 4, ntyp = 3
/
ATOMIC_SPECIES
Mn 54.94 Mn.upf
Zn 65.41 Zn.upf
Se 78.96 Se.upf
CELL_PARAMETERS angstrom
3.5631 0.0000 0.0000
0.0000 3.6484 0.0000
0.0000 0.0000 7.4788
ATOMIC_POSITIONS angstrom
Mn 0.0000 0.0000 0.0000
Zn 0.0000 1.8242 3.7394
Se 1.7815 0.0000 3.7394
Se 1.7815 1.8242 0.0000


Record 2
! MnZnSe2 (PBE, optimized geometry); values from VASP
! total energy = -19.57 eV/cell
! DOS at the Fermi energy = 0.011 states/eV/atom
! formation energy (no corrections) = -0.540 eV/atom
&SYSTEM
  ibrav = 0, nat = 4, ntyp = 3
/
ATOMIC_SPECIES
Mn 54.94 Mn.upf
Zn 65.41 Zn.upf
Se 78.96 Se.upf
CELL_PARAMETERS angstrom
2.0605 1.1896 6.7267
-2.0605 1.1896 6.7267
0.0000 -2.3793 6.7267
ATOMIC_POSITIONS angstrom
Mn 0.0000 0.0000 0.0000
Zn 0.0000 0.0000 10.1069
Se 0.0000 0.0000 7.6208
Se 0.0000 0.0000 17.6414


Record 3
! MnZn2Se3 (PBE, optimized geometry); values from VASP
! total energy = -51.62 eV/cell
! formation energy (no corrections) = -0.607 eV/atom
&SYSTEM
  ibrav = 0, nat = 12, ntyp = 3
/
ATOMIC_SPECIES
Mn 54.94 Mn.upf
Zn 65.41 Zn.upf
Se 78.96 Se.upf
CELL_PARAMETERS angstrom
3.5398 -6.1441 0.0000
3.5398 6.1441 0.0000
-2.3501 0.0000 6.6789
ATOMIC_POSITIONS angstrom
Mn 2.3647 5.1021 3.3394
Mn 3.5398 -5.1021 0.0000
Zn 3.5413 3.0545 0.0066
Zn 2.3599 1.0202 3.3440
Zn 3.5350 -1.0202 0.0045
Zn 2.3662 -3.0545 3.3461
Se 0.0113 1.0584 2.5392
Se -1.1638 -1.0584 5.8787
Se 3.5614 3.0315 2.4989
Se 2.3401 1.0180 5.8350
Se 3.5152 -1.0180 2.4956
Se 2.3863 -3.0315 5.8384